[1]
A geometry-optimized MnNiH2 structure, computed with PBEsol. Values from VASP.

```
&SYSTEM
  ibrav = 0, nat = 8, ntyp = 3
/
ATOMIC_SPECIES
Mn 54.94 Mn.upf
Ni 58.69 Ni.upf
H 1.01 H.upf
CELL_PARAMETERS angstrom
-1.904 1.904 3.991
1.904 -1.904 3.991
1.904 1.904 -3.991
ATOMIC_POSITIONS crystal
Mn 0.000 0.000 0.000
Mn 0.750 0.250 0.500
Ni 0.250 0.750 0.500
Ni 0.500 0.500 0.000
H 0.144 0.625 0.019
H 0.375 0.394 0.519
H 0.606 0.125 0.981
H 0.875 0.856 0.481
```

Values from the calculation:
Electronic total energy in eV per atom: -5.597
Total magnetic moment in μB per cell: 6.39
Crystal system: tetragonal

=====

[2]
A geometry-optimized YBiP2Cl structure, computed with PBEsol. Values from VASP.

```
&SYSTEM
  ibrav = 0, nat = 5, ntyp = 4
/
ATOMIC_SPECIES
Y 88.91 Y.upf
Bi 208.98 Bi.upf
P 30.97 P.upf
Cl 35.45 Cl.upf
CELL_PARAMETERS angstrom
5.288 0.000 0.000
0.000 5.288 0.000
0.000 0.000 4.909
ATOMIC_POSITIONS crystal
Y 0.000 0.000 0.000
Bi 0.500 0.500 0.500
P 0.000 0.500 0.000
P 0.500 0.000 0.000
Cl 0.000 0.000 0.500
```

Values from the calculation:
Electronic total energy in eV per atom: -5.014
Total magnetic moment in μB per cell: 0.00
Crystal system: tetragonal
Uncorrected formation energy in meV/atom: -74

=====

[3]
A geometry-optimized Cu3Si structure, computed with PBEsol. Values from VASP.

```
&SYSTEM
  ibrav = 0, nat = 4, ntyp = 2
/
ATOMIC_SPECIES
Cu 63.55 Cu.upf
Si 28.09 Si.upf
CELL_PARAMETERS angstrom
2.623 0.000 0.000
0.000 3.558 0.000
0.000 0.000 4.985
ATOMIC_POSITIONS crystal
Cu 0.000 0.000 0.000
Cu 0.500 0.500 0.251
Cu 0.500 0.500 0.749
Si 0.000 0.000 0.500
```

Values from the calculation:
Electronic total energy in eV per atom: -4.733
Total magnetic moment in μB per cell: 0.00
Crystal system: orthorhombic
Uncorrected formation energy in meV/atom: -45

=====

[4]
A geometry-optimized FeRu2Pb structure, computed with PBEsol. Values from VASP.

```
&SYSTEM
  ibrav = 0, nat = 4, ntyp = 3
/
ATOMIC_SPECIES
Fe 55.84 Fe.upf
Ru 101.07 Ru.upf
Pb 207.20 Pb.upf
CELL_PARAMETERS angstrom
-1.940 1.940 3.938
1.940 -1.940 3.938
1.940 1.940 -3.938
ATOMIC_POSITIONS crystal
Fe 0.000 0.000 0.000
Ru 0.250 0.750 0.500
Ru 0.500 0.500 0.000
Pb 0.750 0.250 0.500
```

Values from the calculation:
DFT formation energy in meV per atom: 543.8
Electronic total energy in eV per atom: -7.783
Total magnetic moment in μB per cell: 1.83
Crystal system: tetragonal

=====

[5]
A geometry-optimized Tl5Au4 structure, computed with PBEsol. Values from VASP.

```
&SYSTEM
  ibrav = 0, nat = 18, ntyp = 2
/
ATOMIC_SPECIES
Tl 204.38 Tl.upf
Au 196.97 Au.upf
CELL_PARAMETERS angstrom
8.752 0.000 0.000
-4.376 7.579 0.000
0.000 0.000 6.202
ATOMIC_POSITIONS crystal
Tl 0.000 0.287 0.250
Tl 0.000 0.713 0.750
Tl 0.287 0.000 0.250
Tl 0.287 0.287 0.750
Tl 0.333 0.667 0.000
Tl 0.333 0.667 0.500
Tl 0.667 0.333 0.000
Tl 0.667 0.333 0.500
Tl 0.713 0.000 0.750
Tl 0.713 0.713 0.250
Au 0.000 0.000 0.000
Au 0.000 0.000 0.500
Au 0.000 0.374 0.750
Au 0.000 0.626 0.250
Au 0.374 0.000 0.750
Au 0.374 0.374 0.250
Au 0.626 0.000 0.250
Au 0.626 0.626 0.750
```

Values from the calculation:
DFT formation energy in meV per atom: 78.2
Electronic total energy in eV per atom: -3.127
Total magnetic moment in μB per cell: 0.00
Crystal system: hexagonal

=====

[6]
A geometry-optimized Hg3Bi2S2Cl8 structure, computed with PBEsol. Values from VASP.

```
&SYSTEM
  ibrav = 0, nat = 15, ntyp = 4
/
ATOMIC_SPECIES
Hg 200.59 Hg.upf
Bi 208.98 Bi.upf
S 32.06 S.upf
Cl 35.45 Cl.upf
CELL_PARAMETERS angstrom
6.472 -3.712 0.000
6.472 3.712 0.000
-4.334 0.000 8.186
ATOMIC_POSITIONS crystal
Hg 0.000 0.000 0.000
Hg 0.000 0.500 0.000
Hg 0.500 0.000 0.000
Bi 0.368 0.368 0.563
Bi 0.632 0.632 0.437
S 0.121 0.121 0.869
S 0.879 0.879 0.131
Cl 0.036 0.575 0.710
Cl 0.260 0.740 0.500
Cl 0.425 0.964 0.290
Cl 0.450 0.450 0.146
Cl 0.550 0.550 0.854
Cl 0.575 0.036 0.710
Cl 0.740 0.260 0.500
Cl 0.964 0.425 0.290
```

Values from the calculation:
Electronic total energy in eV per atom: -3.054
Total magnetic moment in μB per cell: 0.00
Crystal system: monoclinic
Uncorrected formation energy in meV/atom: -714